[1]
The following is a DFT calculation (PBEsol) of a geometry-optimized MgInPb2 structure.

Unit cell a=3.4193 b=3.4193 c=10.8498 alpha=80.93 beta=80.93 gamma=60.00
Atoms (fractional coordinates):
1 Mg 0.0000 0.0000 0.0000
2 In 0.5000 0.5000 0.5000
3 Pb 0.2537 0.2537 0.2390
4 Pb 0.7463 0.7463 0.7610

Total energy (eV per atom): -3.188
Symmetry: R-3m
N(E_F) (states/eV/cell): 1.8

[2]
The following is a DFT calculation (PBEsol) of a geometry-optimized CdAg2Hg structure.

Unit cell a=4.2634 b=4.0137 c=4.2799 alpha=90.00 beta=90.00 gamma=90.00
Atoms (fractional coordinates):
1 Hg 0.0000 0.5000 0.5000
2 Cd 0.5000 0.5000 0.0000
3 Ag 0.0000 0.0000 0.0000
4 Ag 0.5000 0.0000 0.5000

Symmetry: Pmmm
N(E_F) (states/eV/cell): 1.3
Distance to the lowest polymorph of the same formula (meV/atom): 5

[3]
The following is a DFT calculation (PBEsol) of a geometry-optimized Mn2NiB2 structure.

Unit cell a=3.0146 b=5.2493 c=5.2493 alpha=90.00 beta=90.00 gamma=90.00
Site moments in Bohr magnetons follow the coordinates.
Atoms (fractional coordinates):
1 Mn 0.5000 0.6709 0.8291  1.10
2 Mn 0.5000 0.3291 0.1709  1.10
3 Mn 0.5000 0.1709 0.6709  1.10
4 Mn 0.5000 0.8291 0.3291  1.10
5 Ni 0.0000 0.5000 0.5000  0.22
6 Ni 0.0000 0.0000 0.0000  0.22
7 B 0.0000 0.8803 0.6197  -0.06
8 B 0.0000 0.1197 0.3803  -0.06
9 B 0.0000 0.3803 0.8803  -0.06
10 B 0.0000 0.6197 0.1197  -0.06

Total energy (eV per atom): -8.338
Symmetry: P4/mbm
N(E_F) (states/eV/cell): 7.4

[4]
The following is a DFT calculation (PBEsol) of a geometry-optimized LiZrPS2 structure.

Unit cell a=4.2636 b=4.3190 c=4.3190 alpha=90.00 beta=90.00 gamma=90.00
Atoms (fractional coordinates):
1 Zr 0.5000 0.5000 0.5000
2 Li 0.0000 0.0000 0.0000
3 S 0.0000 0.5000 0.0000
4 S 0.0000 0.0000 0.5000
5 P 0.5000 0.0000 0.0000

Symmetry: P4/mmm
Formation energy without anion corrections (meV/atom): -98
N(E_F) (states/eV/cell): 3.7

[5]
The following is a DFT calculation (PBEsol) of a geometry-optimized Ta2AsOs structure.

Unit cell a=3.1062 b=3.9842 c=5.2761 alpha=90.00 beta=90.00 gamma=90.00
Atoms (fractional coordinates):
1 As 0.0000 0.0000 0.4875
2 Ta 0.5000 0.5000 0.2682
3 Ta 0.0000 0.0000 0.9783
4 Os 0.5000 0.5000 0.7660

Total energy (eV per atom): -10.637
Symmetry: Pmm2
N(E_F) (states/eV/cell): 2.0

[6]
The following is a DFT calculation (PBEsol) of a geometry-optimized BePtPb2 structure.

Unit cell a=4.8578 b=4.8578 c=4.8578 alpha=60.00 beta=60.00 gamma=60.00
Atoms (fractional coordinates):
1 Pb 0.0000 0.0000 0.0000
2 Pb 0.7500 0.7500 0.7500
3 Be 0.5000 0.5000 0.5000
4 Pt 0.2500 0.2500 0.2500

Total energy (eV per atom): -4.231
Symmetry: F-43m
N(E_F) (states/eV/cell): 1.7

[7]
The following is a DFT calculation (PBEsol) of a geometry-optimized Rb6HgSe4 structure.

Unit cell a=8.1535 b=10.6614 c=10.6614 alpha=120.00 beta=90.00 gamma=90.00
Atoms (fractional coordinates):
1 Se 0.8986 0.1930 0.3860
2 Se 0.3986 0.8070 0.6140
3 Se 0.8986 0.1930 0.8070
4 Se 0.3986 0.8070 0.1930
5 Se 0.8345 0.6667 0.3333
6 Se 0.3345 0.3333 0.6667
7 Se 0.8986 0.6140 0.8070
8 Se 0.3986 0.3860 0.1930
9 Rb 0.7965 0.8510 0.7020
10 Rb 0.6207 0.4738 0.5262
11 Rb 0.2965 0.1490 0.8510
12 Rb 0.6207 0.4738 0.9476
13 Rb 0.2965 0.7020 0.8510
14 Rb 0.6207 0.0524 0.5262
15 Rb 0.2965 0.1490 0.2980
16 Rb 0.1207 0.5262 0.4738
17 Rb 0.7965 0.8510 0.1490
18 Rb 0.1207 0.9476 0.4738
19 Rb 0.7965 0.2980 0.1490
20 Rb 0.1207 0.5262 0.0524
21 Hg 0.9982 0.3333 0.6667
22 Hg 0.4982 0.6667 0.3333

Symmetry: P6_3mc
Formation energy without anion corrections (meV/atom): -983

[8]
The following is a DFT calculation (PBEsol) of a geometry-optimized NaMo2P3O12 structure.

Unit cell a=8.6850 b=8.6850 c=8.8996 alpha=60.79 beta=60.79 gamma=60.00
Site moments in Bohr magnetons follow the coordinates.
Atoms (fractional coordinates):
1 O 0.2791 0.9197 0.7403  0.01
2 O 0.5803 0.2209 0.7597  0.01
3 O 0.0803 0.9390 0.2597  0.01
4 O 0.7124 0.8721 0.9223  0.02
5 O 0.7209 0.0803 0.2597  0.01
6 O 0.6279 0.7876 0.5777  0.02
7 O 0.7791 0.5610 0.2403  0.01
8 O 0.5068 0.2876 0.0777  0.02
9 O 0.2209 0.4390 0.7597  0.01
10 O 0.5610 0.4197 0.2403  0.01
11 O 0.7876 0.0068 0.5777  0.02
12 O 0.2876 0.1279 0.0777  0.02
13 O 0.4390 0.5803 0.7597  0.01
14 O 0.1279 0.5068 0.0777  0.02
15 O 0.2124 0.9932 0.4223  0.02
16 O 0.9390 0.7209 0.2597  0.01
17 O 0.8721 0.4932 0.9223  0.02
18 O 0.0610 0.2791 0.7403  0.01
19 O 0.4932 0.7124 0.9223  0.02
20 O 0.9932 0.3721 0.4223  0.02
21 O 0.0068 0.6279 0.5777  0.02
22 O 0.3721 0.2124 0.4223  0.02
23 O 0.9197 0.0610 0.7403  0.01
24 O 0.4197 0.7791 0.2403  0.01
25 P 0.4624 0.7500 0.7500  0.02
26 P 0.0376 0.4624 0.7500  0.02
27 P 0.7500 0.0376 0.7500  0.02
28 P 0.2500 0.9624 0.2500  0.02
29 P 0.9624 0.5376 0.2500  0.02
30 P 0.5376 0.2500 0.2500  0.02
31 Na 0.5000 0.5000 0.5000  0.00
32 Na 0.0000 0.0000 0.0000  0.00
33 Mo 0.8566 0.8566 0.4301  1.69
34 Mo 0.3566 0.3566 0.9301  1.69
35 Mo 0.1434 0.1434 0.5699  1.69
36 Mo 0.6434 0.6434 0.0699  1.69

Symmetry: R-3c
Formation energy without anion corrections (meV/atom): -2089
N(E_F) (states/eV/cell): 11.9

[9]
The following is a DFT calculation (PBEsol) of a geometry-optimized CdTcPt3 structure.

Unit cell a=4.7309 b=4.7309 c=4.7309 alpha=90.00 beta=90.00 gamma=90.00
Atoms (fractional coordinates):
1 Cd 0.5000 0.5000 0.5000
2 Pt 0.0000 0.5000 0.0000
3 Pt 0.0000 0.0000 0.5000
4 Pt 0.5000 0.0000 0.0000
5 Tc 0.0000 0.0000 0.0000

Total energy (eV per atom): -5.508
Symmetry: Pm-3m
N(E_F) (states/eV/cell): 5.2

[10]
The following is a DFT calculation (PBEsol) of a geometry-optimized ZrInRu2Pt structure.

Unit cell a=4.7058 b=4.7058 c=4.8403 alpha=90.00 beta=90.00 gamma=90.00
Atoms (fractional coordinates):
1 In 0.0000 0.0000 0.5000
2 Ru 0.0000 0.5000 0.0000
3 Ru 0.5000 0.0000 0.0000
4 Zr 0.5000 0.5000 0.5000
5 Pt 0.0000 0.0000 0.0000

Total energy (eV per atom): -6.615
Symmetry: P4/mmm
N(E_F) (states/eV/cell): 7.7

[11]
The following is a DFT calculation (PBEsol) of a geometry-optimized LiSiP structure.

Unit cell a=2.4558 b=4.3401 c=4.3401 alpha=120.00 beta=90.00 gamma=90.00
Atoms (fractional coordinates):
1 P 0.5000 0.3333 0.6667
2 Si 0.5000 0.6667 0.3333
3 Li 0.0000 0.0000 0.0000

Symmetry: P-6m2
Formation energy without anion corrections (meV/atom): -119
N(E_F) (states/eV/cell): 1.0
Distance to the lowest polymorph of the same formula (meV/atom): 0

[12]
The following is a DFT calculation (PBEsol) of a geometry-optimized MgIr2Ru structure.

Unit cell a=2.7321 b=2.7321 c=7.7788 alpha=90.00 beta=90.00 gamma=90.00
Atoms (fractional coordinates):
1 Ir 0.0000 0.0000 0.9957
2 Ir 0.5000 0.5000 0.2391
3 Ru 0.5000 0.5000 0.7670
4 Mg 0.0000 0.0000 0.4982

Total energy (eV per atom): -7.894
Symmetry: P4mm
N(E_F) (states/eV/cell): 2.9